Record 1
First-principles (PBE-GGA) data for an optimized crystal structure of Pm5Tm2Sc4, as listed in Alexandria via LeMat-Bulk.

Computed properties:
SG ... Immm, No. 71
Mass density ... 6.028 Mg/m³
ΔH_f (0 K) ... 0.1618 eV/atom

a = 3.4333 Å, b = 8.7481 Å, c = 12.3286 Å
α = 110.78°, β = 98.00°, γ = 90.00°
With the nearest neighbours (Å) after each atom.
Sites, in units of the cell vectors:
Pm  0.8578  0.6551  0.7157  3 Sc 3.31-3.41, 3 Tm 3.42-3.70, 3 Pm 3.43-3.55
Pm  0.1422  0.3449  0.2843  3 Sc 3.31-3.41, 3 Tm 3.42-3.70, 3 Pm 3.43-3.55
Pm  0.1422  0.9394  0.2843  3 Sc 3.31-3.41, 3 Tm 3.42-3.70, 3 Pm 3.43-3.55
Pm  0.5000  0.0000  0.0000  4 Sc 3.32, 2 Pm 3.43
Pm  0.8578  0.0606  0.7157  3 Sc 3.31-3.41, 3 Tm 3.42-3.70, 3 Pm 3.43-3.55
Tm  0.2707  0.2707  0.5413  1 Sc 3.09, 2 Pm 3.42, 2 Tm 3.43
Tm  0.7293  0.7293  0.4587  1 Sc 3.09, 2 Pm 3.42, 2 Tm 3.43
Sc  0.0000  0.3243  0.0000  7 Sc 3.07-3.43, 4 Pm 3.32-3.41
Sc  0.0000  0.6757  0.0000  7 Sc 3.07-3.43, 4 Pm 3.32-3.41
Sc  0.4064  0.4064  0.8128  1 Tm 3.09, 6 Sc 3.14-3.43, 4 Pm 3.31
Sc  0.5936  0.5936  0.1872  1 Tm 3.09, 6 Sc 3.14-3.43, 4 Pm 3.31

Record 2
First-principles (PBE-GGA) data for an optimized crystal structure of NbTlTeN2, as listed in Alexandria via LeMat-Bulk.

Computed properties:
SG ... P4/mmm, No. 123
Energy above the lowest structure with this stoichiometry ... 0.0 meV per atom
ΔE_f (raw) ... 0.331 eV/atom
Mass density ... 7.407 Mg/m³

a = 4.1696 Å, b = 4.1696 Å, c = 5.8402 Å
α = 90.00°, β = 90.00°, γ = 90.00°
With the nearest neighbours (Å) after each atom.
Sites, in units of the cell vectors:
Te  0.0000  0.0000  0.5000  2 Nb 2.92, 4 Tl 2.95
Nb  0.0000  0.0000  0.0000  4 N 2.08
N  0.5000  0.0000  0.0000  2 Nb 2.08
N  0.0000  0.5000  0.0000  2 Nb 2.08
Tl  0.5000  0.5000  0.5000  4 Te 2.95

Record 3
First-principles (PBE-GGA) data for an optimized crystal structure of LiPa2PtO8, as listed in Alexandria via LeMat-Bulk.

Computed properties:
SG ... P-3m1, No. 164
ΔE_f (raw) ... -2.021 eV/atom
Mass density ... 7.782 Mg/m³

a = 5.4994 Å, b = 5.4994 Å, c = 6.4529 Å
α = 90.00°, β = 90.00°, γ = 120.00°
With the nearest neighbours (Å) after each atom.
Sites, in units of the cell vectors:
Li  0.0000  0.0000  0.5000  6 O 2.79
O  0.8217  0.1783  0.8429  1 Pt 1.98
O  0.8217  0.6434  0.8429  1 Pt 1.98
O  0.6434  0.8217  0.1571  1 Pt 1.98
O  0.1783  0.8217  0.1571  1 Pt 1.98
O  0.1783  0.3566  0.1571  1 Pt 1.98
O  0.3333  0.6667  0.5837  1 Pa 1.85
O  0.6667  0.3333  0.4163  1 Pa 1.85
O  0.3566  0.1783  0.8429  1 Pt 1.98
Pa  0.3333  0.6667  0.8708  1 O 1.85
Pa  0.6667  0.3333  0.1292  1 O 1.85
Pt  0.0000  0.0000  0.0000  6 O 1.98

Record 4
First-principles (PBE-GGA) data for an optimized crystal structure of Rb3Zn2Au2, as listed in Alexandria via LeMat-Bulk.

Computed properties:
SG ... Immm, No. 71
Mass density ... 5.219 Mg/m³
ΔH_f (0 K) ... -0.1662 eV/atom

a = 5.3362 Å, b = 4.6923 Å, c = 10.5432 Å
α = 102.86°, β = 104.66°, γ = 90.00°
With the nearest neighbours (Å) after each atom.
Sites, in units of the cell vectors:
Rb  0.8113  0.3113  0.6226  2 Zn 3.61, 5 Au 3.74-3.79
Rb  0.1887  0.6887  0.3774  2 Zn 3.61, 5 Au 3.74-3.79
Rb  0.0000  0.0000  0.0000  4 Au 3.62, 8 Zn 3.79
Zn  0.4335  0.4335  0.8670  2 Au 2.60, 1 Zn 2.64
Zn  0.5665  0.5665  0.1330  2 Au 2.60, 1 Zn 2.64
Au  0.3771  0.8771  0.7543  2 Zn 2.60
Au  0.6229  0.1229  0.2457  2 Zn 2.60

Record 5
First-principles (PBE-GGA) data for an optimized crystal structure of Sr2ScAs, as listed in Alexandria via LeMat-Bulk.

Computed properties:
SG ... I-4m2, No. 119
Mass density ... 3.972 Mg/m³
ΔH_f (0 K) ... -0.1614 eV/atom

a = 6.5195 Å, b = 6.5195 Å, c = 6.5195 Å
α = 137.86°, β = 137.86°, γ = 61.12°
With the nearest neighbours (Å) after each atom.
Sites, in units of the cell vectors:
Sr  0.2500  0.7500  0.5000  4 Sc 3.31, 4 As 3.66, 4 Sr 3.66
Sr  0.0000  0.0000  0.0000  4 As 3.31, 4 Sc 3.66, 4 Sr 3.66
Sc  0.7500  0.2500  0.5000  8 Sr 3.31-3.66, 4 As 3.66
As  0.5000  0.5000  0.0000  8 Sr 3.31-3.66, 4 Sc 3.66

Record 6
First-principles (PBE-GGA) data for an optimized crystal structure of Ac2HoCu2O6, as listed in Alexandria via LeMat-Bulk.

Computed properties:
SG ... R-3m, No. 166
ΔE_f (raw) ... -2.239 eV/atom
Mass density ... 8.006 Mg/m³

a = 6.0031 Å, b = 6.0031 Å, c = 6.5823 Å
α = 62.87°, β = 62.87°, γ = 60.00°
With the nearest neighbours (Å) after each atom.
Sites, in units of the cell vectors:
Ac  0.7913  0.7913  0.6261  3 O 2.48
Ac  0.2087  0.2087  0.3739  3 O 2.48
Cu  0.4214  0.4214  0.7358  3 O 1.89
Cu  0.5786  0.5786  0.2642  3 O 1.89
O  0.2463  0.2463  0.7164  1 Cu 1.89
O  0.2463  0.7911  0.7164  1 Cu 1.89
O  0.7537  0.7537  0.2836  1 Cu 1.89
O  0.7537  0.2089  0.2836  1 Cu 1.89
O  0.2089  0.7537  0.2836  1 Cu 1.89
O  0.7911  0.2463  0.7164  1 Cu 1.89
Ho  0.0000  0.0000  0.0000  6 O 2.24

Record 7
First-principles (PBE-GGA) data for an optimized crystal structure of K2CaSnH, as listed in Alexandria via LeMat-Bulk.

Computed properties:
SG ... P4/mmm, No. 123
Calculated total energy ... -2.49 eV per atom
Mass density ... 2.721 Mg/m³

a = 5.1156 Å, b = 5.1156 Å, c = 5.5503 Å
α = 90.00°, β = 90.00°, γ = 90.00°
With the nearest neighbours (Å) after each atom.
Sites, in units of the cell vectors:
K  0.5000  0.0000  0.0000  2 H 2.56
K  0.0000  0.5000  0.0000  2 H 2.56
Sn  0.5000  0.5000  0.5000  4 Ca 3.62, 8 K 3.77
Ca  0.0000  0.0000  0.5000  2 H 2.78
H  0.0000  0.0000  0.0000  4 K 2.56, 2 Ca 2.78

Record 8
First-principles (PBE-GGA) data for an optimized crystal structure of KTlIn2Bi2, as listed in Alexandria via LeMat-Bulk.

Computed properties:
SG ... P-3m1, No. 164
Mass density ... 7.177 Mg/m³
ΔH_f (0 K) ... -0.1469 eV/atom

a = 5.5024 Å, b = 5.5024 Å, c = 7.8634 Å
α = 90.00°, β = 90.00°, γ = 120.00°
With the nearest neighbours (Å) after each atom.
Sites, in units of the cell vectors:
In  0.3333  0.6667  0.6626  4 Bi 3.12-3.23, 3 Tl 3.42
In  0.6667  0.3333  0.3374  4 Bi 3.12-3.23, 3 Tl 3.42
Tl  0.0000  0.0000  0.5000  6 In 3.42, 6 Bi 3.67
Bi  0.3333  0.6667  0.2661  4 In 3.12-3.23
Bi  0.6667  0.3333  0.7339  4 In 3.12-3.23
K  0.0000  0.0000  0.0000  6 Bi 3.80, 2 Tl 3.93, 6 In 4.14